Entry from the Alexandria database: a relaxed Ba2LiSbS crystal (PBE-GGA).

Values from the calculation:
The spin magnetization is 0.0 μB per formula unit. For the electronic total energy, the calculation gives -4.0319 eV per atom. The uncorrected formation energy is -1.230 eV/atom. The energy above the most stable polymorph in this dataset is 11.36 kJ per mole of atoms.

```
5
Lattice="-0.9047 -2.1732 -5.6211 0.4149 -5.6931 2.1342 -4.6523 -0.0510 0.7685" Properties=species:S:1:pos:R:3 pbc="T T T"
Ba 0.2075 -2.8466 1.0671
Ba -0.4524 -1.0866 -2.8106
S 0.0000 0.0000 0.0000
Sb -2.5711 -3.9586 -1.3592
Li -2.3262 -0.0255 0.3842
```